1.
Material: ZnFeTe
Method: DFT, PBE-GGA
State: optimized geometry

a b c (Å): 4.254 4.254 4.254
angles (deg): 60.00 60.00 60.00
Sites, in units of the cell vectors:
Zn 0.500 0.500 0.500
Te 0.000 0.000 0.000
Fe 0.250 0.250 0.250

Calculated values
- E above lowest polymorph: 0 kJ/mol of formula units
- E_form (uncorrected): 0.43 eV per formula unit
- Calculated density: 7.6 Mg/m³
- Final energy: -4.15 eV per atom

=====

2.
Material: Y10Ho2Er
Method: DFT, PBE-GGA
State: optimized geometry

a b c (Å): 6.528 8.425 9.244
angles (deg): 82.14 69.32 67.21
Sites, in units of the cell vectors:
Ho 0.500 0.500 0.000
Ho 0.000 0.500 0.000
Y 0.351 0.636 0.662
Y 0.296 0.207 0.202
Y 0.497 0.207 0.798
Y 0.987 0.364 0.662
Y 0.704 0.793 0.798
Y 0.013 0.636 0.338
Y 0.500 0.000 0.500
Y 0.000 0.000 0.500
Y 0.649 0.364 0.338
Y 0.503 0.793 0.202
Er 0.000 0.000 0.000

Calculated values
- Formation energy: 0.296 eV/atom
- Calculated density: 5.2 Mg/m³
- Final energy: -5.73 eV per atom

=====

3.
Material: Li3SnAs
Method: DFT, PBE-GGA
State: optimized geometry

a b c (Å): 4.773 4.773 4.773
angles (deg): 90.00 90.00 90.00
Sites, in units of the cell vectors:
Sn 0.500 0.500 0.500
Li 0.000 0.500 0.000
Li 0.500 0.000 0.000
Li 0.000 0.000 0.500
As 0.000 0.000 0.000

Calculated values
- E above lowest polymorph: 124 kJ/mol of formula units
- Formation energy: -0.214 eV/atom
- Calculated density: 3.3 Mg/m³
- Final energy: -3.09 eV per atom

=====

4.
Material: Ca2InFe
Method: DFT, PBE-GGA
State: optimized geometry

a b c (Å): 10.125 10.125 7.598
angles (deg): 48.22 48.22 90.00
Sites, in units of the cell vectors:
Ca 0.282 0.625 0.250
Ca 0.875 0.718 0.750
Ca 0.468 0.125 0.250
Ca 0.375 0.532 0.750
Fe 0.500 0.500 0.000
Fe 0.250 0.750 0.500
In 0.000 0.000 0.000
In 0.750 0.250 0.500

Calculated values
- Formation energy: 0.348 eV/atom
- Calculated density: 3.2 Mg/m³
- Final energy: -3.45 eV per atom

=====

5.
Material: Li3PrEr2S6
Method: DFT, PBE-GGA
State: optimized geometry

a b c (Å): 6.849 6.849 6.591
angles (deg): 99.89 99.89 120.05
Sites, in units of the cell vectors:
S 0.083 0.429 0.251
S 0.429 0.083 0.251
S 0.737 0.737 0.253
S 0.917 0.571 0.749
S 0.263 0.263 0.747
S 0.571 0.917 0.749
Li 0.828 0.172 0.500
Li 0.172 0.828 0.500
Li 0.500 0.500 0.500
Er 0.666 0.334 0.000
Er 0.334 0.666 0.000
Pr 0.000 0.000 0.000

Calculated values
- E_form (uncorrected): -21.85 eV per formula unit
- Calculated density: 4.6 Mg/m³
- Final energy: -5.52 eV per atom

=====

6.
Material: TcIrRu2
Method: DFT, PBE-GGA
State: optimized geometry

a b c (Å): 3.276 3.276 5.484
angles (deg): 90.00 90.00 90.00
Sites, in units of the cell vectors:
Ru 0.500 0.500 0.247
Ru 0.000 0.000 0.992
Tc 0.000 0.000 0.508
Ir 0.500 0.500 0.752

Calculated values
- E above lowest polymorph: 202 kJ/mol of formula units
- Formation energy: 0.386 eV/atom
- Calculated density: 13.9 Mg/m³
- Final energy: -9.06 eV per atom

=====

7.
Material: Ba8In2P
Method: DFT, PBE-GGA
State: optimized geometry

a b c (Å): 4.676 10.216 12.430
angles (deg): 88.31 100.84 90.00
Sites, in units of the cell vectors:
Ba 0.631 0.997 0.263
Ba 0.605 0.495 0.209
Ba 0.764 0.693 0.527
Ba 0.236 0.307 0.473
Ba 0.004 0.789 0.007
Ba 0.395 0.505 0.791
Ba 0.996 0.211 0.993
Ba 0.369 0.003 0.737
In 0.844 0.274 0.687
In 0.156 0.726 0.313
P 0.500 0.000 0.000

Calculated values
- Formation energy: -0.340 eV/atom
- Calculated density: 3.9 Mg/m³
- Final energy: -2.73 eV per atom

=====

8.
Material: K2YFe
Method: DFT, PBE-GGA
State: optimized geometry

a b c (Å): 7.119 7.119 3.585
angles (deg): 90.00 90.00 128.50
Sites, in units of the cell vectors:
Fe 0.000 0.500 0.500
K 0.000 0.000 0.000
K 0.500 0.500 0.000
Y 0.500 0.000 0.500

Calculated values
- E above lowest polymorph: 202 kJ/mol of formula units
- Formation energy: 1.026 eV/atom
- Calculated density: 2.6 Mg/m³
- Final energy: -3.25 eV per atom

=====

It is found that the DOS at the Fermi energy values, taken in the order of the records, are 2.261; 30.452; 2.052; 4.862; 0.000; 5.119; 11.413; 5.768 states/eV/f.u..